Record 1
{"formula": "NaFeCl4", "functional": "PBE-GGA", "state": "optimized geometry", "lattice_angstrom": [[-2.4512, 9.1872, 3.7906], [-0.6469, -3.8887, 9.0067], [6.0318, 1.2142, 0.9575]], "species": ["Na", "Na", "Cl", "Na", "Fe", "Cl", "Cl", "Fe", "Cl", "Cl", "Cl", "Cl", "Cl", "Cl", "Cl", "Na", "Fe", "Fe", "Cl", "Cl", "Cl", "Cl", "Cl", "Cl"], "frac_coords": [[0.6174, 0.2869, 0.3067], [0.8826, 0.7131, 0.8067], [0.4660, 0.5068, 0.0671], [0.1174, 0.2131, 0.6933], [0.0382, 0.4892, 0.2121], [0.3484, 0.6890, 0.6103], [0.6286, 0.8260, 0.9272], [0.5382, 0.0108, 0.7879], [0.1516, 0.3110, 0.1103], [0.8714, 0.1740, 0.4272], [0.3398, 0.0181, 0.9255], [0.8398, 0.4819, 0.0745], [0.5340, 0.0068, 0.4329], [0.8484, 0.8110, 0.3897], [0.1602, 0.9819, 0.4255], [0.3826, 0.7869, 0.1933], [0.9618, 0.9892, 0.2879], [0.4618, 0.5108, 0.7121], [0.1286, 0.6740, 0.0728], [0.6516, 0.1890, 0.8897], [0.0340, 0.4932, 0.5671], [0.6602, 0.5181, 0.5745], [0.9660, 0.9932, 0.9329], [0.3714, 0.3260, 0.5728]], "sg": "P2_12_12_1, No. 19", "e_tot_ev_per_fu": -23.72, "magnetic_moment_mub_per_fu": 5.00, "vol_a3_per_cell": 626.7}

=====

Record 2
{"formula": "DySi2Ni10", "functional": "PBE-GGA", "state": "optimized geometry", "lattice_angstrom": [[8.1495, 0.0000, 0.0000], [0.0000, 8.1495, 0.0000], [0.0000, 0.0000, 4.6609]], "species": ["Ni", "Ni", "Ni", "Dy", "Si", "Ni", "Ni", "Ni", "Ni", "Si", "Ni", "Ni", "Ni", "Ni", "Ni", "Ni", "Ni", "Ni", "Si", "Ni", "Si", "Ni", "Ni", "Ni", "Dy", "Ni"], "frac_coords": [[0.5267, 0.7500, 0.2705], [0.2500, 0.6027, 0.2392], [0.2500, 0.4733, 0.7295], [0.7500, 0.7500, 0.7792], [0.0000, 0.0000, 0.5000], [0.5000, 0.5000, 0.0000], [0.8973, 0.2500, 0.2392], [0.7500, 0.5267, 0.2705], [0.5000, 0.0000, 0.0000], [0.0000, 0.5000, 0.5000], [0.6027, 0.2500, 0.2392], [0.7500, 0.9733, 0.2705], [0.9733, 0.7500, 0.2705], [0.0267, 0.2500, 0.7295], [0.0000, 0.0000, 0.0000], [0.2500, 0.8973, 0.2392], [0.2500, 0.0267, 0.7295], [0.4733, 0.2500, 0.7295], [0.5000, 0.0000, 0.5000], [0.3973, 0.7500, 0.7608], [0.5000, 0.5000, 0.5000], [0.7500, 0.1027, 0.7608], [0.7500, 0.3973, 0.7608], [0.0000, 0.5000, 0.0000], [0.2500, 0.2500, 0.2208], [0.1027, 0.7500, 0.7608]], "sg": "P4/nmm, No. 129", "e_tot_ev_per_fu": -76.95, "magnetic_moment_mub_per_fu": 0.06, "vol_a3_per_cell": 309.6}

=====

Record 3
{"formula": "HoAsAuO", "functional": "PBE-GGA", "state": "optimized geometry", "lattice_angstrom": [[4.0026, 0.0000, 0.0000], [0.0000, 4.0026, 0.0000], [0.0000, 0.0000, 9.0066]], "species": ["O", "O", "Au", "Ho", "Ho", "As", "Au", "As"], "frac_coords": [[0.5000, 0.5000, 0.0000], [0.0000, 0.0000, 0.0000], [0.0000, 0.0000, 0.5000], [0.5000, 0.0000, 0.1160], [0.0000, 0.5000, 0.8840], [0.0000, 0.5000, 0.3007], [0.5000, 0.5000, 0.5000], [0.5000, 0.0000, 0.6993]], "sg": "P4/nmm, No. 129", "de_polymorph_ev_per_atom": 0.000, "magnetic_moment_mub_per_fu": 0.00, "vol_a3_per_cell": 144.3}

=====

Record 4
{"formula": "Tb2NdIn3CuPt2", "functional": "PBE-GGA", "state": "optimized geometry", "lattice_angstrom": [[-2.0534, -2.5833, 2.1020], [3.1985, 2.7110, 6.4563], [-6.5519, 3.0470, -2.6557]], "species": ["In", "Cu", "Pt", "Nd", "Pt", "Tb", "In", "Tb", "In"], "frac_coords": [[0.5000, 0.7519, 0.0025], [0.0000, 0.0017, 0.0017], [0.5000, 0.3284, 0.6686], [0.0000, 0.5860, 0.5860], [0.5000, 0.6686, 0.3284], [0.0000, 0.0000, 0.4135], [0.5000, 0.2473, 0.2473], [0.0000, 0.4135, 0.0000], [0.5000, 0.0025, 0.7519]], "sg": "Amm2, No. 38", "e_tot_ev_per_fu": -45.44, "magnetic_moment_mub_per_fu": 0.00, "vol_a3_per_cell": 200.3}

=====

Record 5
{"formula": "SmSnNO", "functional": "PBE-GGA", "state": "optimized geometry", "lattice_angstrom": [[6.8139, 0.0000, 0.0000], [0.0000, 7.1681, 0.0000], [0.0000, 0.0000, 5.7587]], "species": ["N", "O", "Sn", "O", "N", "Sn", "Sm", "Sn", "Sn", "Sm", "Sm", "Sm", "N", "N", "O", "O"], "frac_coords": [[0.9151, 0.8803, 0.0726], [0.4402, 0.4351, 0.6831], [0.6197, 0.3335, 0.9685], [0.9403, 0.5649, 0.6831], [0.0849, 0.1197, 0.5726], [0.8803, 0.3335, 0.4685], [0.5865, 0.8450, 0.9782], [0.1197, 0.6665, 0.9685], [0.3803, 0.6665, 0.4685], [0.0865, 0.1550, 0.9782], [0.9135, 0.8450, 0.4782], [0.4135, 0.1550, 0.4782], [0.4151, 0.1197, 0.0726], [0.5849, 0.8803, 0.5726], [0.5597, 0.5649, 0.1831], [0.0598, 0.4351, 0.1831]], "sg": "Pca2_1, No. 29", "de_polymorph_ev_per_atom": 0.273, "magnetic_moment_mub_per_fu": 0.00, "vol_a3_per_cell": 281.3}

=====

Record 6
{"formula": "HoPa", "functional": "PBE-GGA", "state": "optimized geometry", "lattice_angstrom": [[0.0000, 3.1115, 3.1115], [3.1115, 0.0000, 3.1115], [3.1115, 3.1115, 0.0000]], "species": ["Pa", "Ho"], "frac_coords": [[0.5000, 0.5000, 0.5000], [0.0000, 0.0000, 0.0000]], "sg": "Fm-3m, No. 225", "de_polymorph_ev_per_atom": 1.149, "magnetic_moment_mub_per_fu": 2.15, "delta_e_f_kj_per_mol_atoms": 127.4, "vol_a3_per_cell": 60.2}